A plane-wave DFT calculation with PBE-GGA was carried out for a relaxed structure of CeHo3Tm12.

As for the energy: -4.548 eV/atom. For the density of states at the Fermi level, the calculation gives 22.6 states/eV/cell. The space-group type is P4/mmm (123).

```
CeHo3Tm12
1.0
-1.8230 4.5587 0.5803
-4.3029 -1.9125 1.5067
6.4547 0.2021 18.6902
Ce Ho Tm
1 3 12
direct
0.0000 0.0000 0.0000
0.0000 0.0000 0.2491
0.0000 0.0000 0.5000
0.0000 0.0000 0.7509
0.5000 0.5000 0.0000
0.5000 0.5000 0.2514
0.5000 0.5000 0.5000
0.5000 0.5000 0.7486
0.5000 0.0000 0.1246
0.5000 0.0000 0.3750
0.5000 0.0000 0.6250
0.5000 0.0000 0.8754
0.0000 0.5000 0.1246
0.0000 0.5000 0.3750
0.0000 0.5000 0.6250
0.0000 0.5000 0.8754
```

A plane-wave DFT calculation with PBE-GGA was carried out for a relaxed structure of Ce2Ho4Tm5.

Its polymorph energy (0 for the lowest one) is 3.69 eV per formula unit. As for the energy: -4.338 eV/atom. For the density of states at the Fermi level, the calculation gives 25.2 states/eV/cell. The space-group type is Immm (71).

```
Ce2Ho4Tm5
1.0
-0.2235 1.4284 3.1092
-6.9009 2.6540 -1.7153
-2.1187 -13.6342 4.2204
Ce Ho Tm
2 4 5
direct
0.8973 0.8973 0.7946
0.1027 0.1027 0.2054
0.0000 0.3186 0.0000
0.6038 0.6038 0.2075
0.0000 0.6814 0.0000
0.3962 0.3962 0.7925
0.8036 0.0610 0.6071
0.8036 0.5461 0.6071
0.1964 0.4539 0.3929
0.1964 0.9390 0.3929
0.5000 0.0000 0.0000
```

A plane-wave DFT calculation with PBE-GGA was carried out for a relaxed structure of Ce2Ho2Tm7.

Its polymorph energy (0 for the lowest one) is 0.00 eV per formula unit. As for the energy: -4.550 eV/atom. For the density of states at the Fermi level, the calculation gives 22.7 states/eV/cell. The space-group type is C2/m (12).

```
Ce2Ho2Tm7
1.0
-3.5076 -3.1906 -3.5263
4.5597 -5.8344 -2.8248
-3.9361 -4.9246 4.8026
Ce Ho Tm
2 2 7
direct
0.5000 0.7853 0.2147
0.5000 0.2147 0.7853
0.5866 0.7685 0.7685
0.4134 0.2315 0.2315
0.1718 0.0644 0.5913
0.8282 0.4087 0.9356
0.8282 0.9356 0.4087
0.1718 0.5913 0.0644
0.0000 0.0000 0.0000
0.8074 0.4059 0.4059
0.1926 0.5941 0.5941
```